Computed, not measured: BaHg2Rh after structural relaxation at the GGA-PBE level of DFT.

Calculated values
The total magnetic moment comes out at 0.0 μB/f.u. For the energy of formation from the pure elements, the calculation gives -0.340 eV per formula unit.

a b c (Å): 3.752 3.752 7.450
angles (deg): 90.00 90.00 90.00
Positions (direct):
Ba1 0.000 0.000 0.000
Hg1 0.000 0.000 0.568
Hg2 0.500 0.500 0.325
Rh1 0.500 0.500 0.705



Computed, not measured: BaHg3Rh after structural relaxation at the GGA-PBE level of DFT.

Calculated values
The total magnetic moment comes out at 0.0 μB/f.u. For the energy of formation from the pure elements, the calculation gives -1.449 eV per formula unit. For the polymorph energy (0 for the lowest one), the calculation gives 0 meV/atom.

a b c (Å): 5.295 5.295 5.295
angles (deg): 90.00 90.00 90.00
Positions (direct):
Ba1 0.000 0.000 0.000
Hg1 0.000 0.500 0.500
Hg2 0.500 0.000 0.500
Hg3 0.500 0.500 0.000
Rh1 0.500 0.500 0.500



Computed, not measured: Ba5Hg2Rh after structural relaxation at the GGA-PBE level of DFT.

Calculated values
The total magnetic moment comes out at 0.0 μB/f.u. For the energy of formation from the pure elements, the calculation gives -2.517 eV per formula unit.

a b c (Å): 10.773 10.773 8.878
angles (deg): 97.64 97.64 43.41
Positions (direct):
Ba1 0.081 0.919 0.750
Ba2 0.145 0.290 0.304
Ba3 0.271 0.521 0.068
Ba4 0.290 0.145 0.804
Ba5 0.479 0.729 0.432
Ba6 0.521 0.271 0.568
Ba7 0.710 0.855 0.196
Ba8 0.729 0.479 0.932
Ba9 0.855 0.710 0.696
Ba10 0.919 0.081 0.250
Hg1 0.100 0.694 0.427
Hg2 0.306 0.900 0.073
Hg3 0.694 0.100 0.927
Hg4 0.900 0.306 0.573
Rh1 0.000 0.500 0.000
Rh2 0.500 0.000 0.500



Computed, not measured: Ba5Hg5Rh2 after structural relaxation at the GGA-PBE level of DFT.

Calculated values
The total magnetic moment comes out at 0.0 μB/f.u. For the energy of formation from the pure elements, the calculation gives -4.940 eV per formula unit.

a b c (Å): 9.288 9.288 13.215
angles (deg): 130.42 130.42 28.86
Positions (direct):
Ba1 0.000 0.000 0.000
Ba2 0.301 0.301 0.420
Ba3 0.384 0.384 0.186
Ba4 0.616 0.616 0.814
Ba5 0.699 0.699 0.580
Hg1 0.000 0.000 0.500
Hg2 0.067 0.067 0.315
Hg3 0.291 0.291 0.849
Hg4 0.709 0.709 0.151
Hg5 0.933 0.933 0.685
Rh1 0.382 0.382 0.743
Rh2 0.618 0.618 0.257